[1]
A plane-wave DFT calculation with meta-GGA SCAN was carried out for a crystal of Y2AlRe relaxed with PBEsol.

Calculated values
space group: No. 119
density of states at the Fermi level: 3.8 states/eV/cell
total magnetic moment: 0.0 μB per cell
energy of formation: 86 meV per atom

a b c (Å): 4.4009 4.4009 5.1793
angles (deg): 115.14 115.14 90.00
Positions (direct):
Re (0.2500, 0.7500, 0.5000)
Al (0.5000, 0.5000, 0.0000)
Y (0.0000, 0.0000, 0.0000)
Y (0.7500, 0.2500, 0.5000)


[2]
A plane-wave DFT calculation with meta-GGA SCAN was carried out for a crystal of TlCo3Os relaxed with PBEsol.

Calculated values
space group: No. 221
density of states at the Fermi level: 4.8 states/eV/cell
total magnetic moment: 4.5 μB per cell
energy of formation: 1386 meV per atom

a b c (Å): 4.4387 4.4387 4.4387
angles (deg): 90.00 90.00 90.00
Each line ends with the local moment (μB).
Positions (direct):
Co (0.0000, 0.5000, 0.0000)  1.45
Co (0.0000, 0.0000, 0.5000)  1.45
Co (0.5000, 0.0000, 0.0000)  1.45
Tl (0.5000, 0.5000, 0.5000)  -0.02
Os (0.0000, 0.0000, 0.0000)  0.16


[3]
A plane-wave DFT calculation with meta-GGA SCAN was carried out for a crystal of Cu5Au relaxed with PBEsol.

Calculated values
space group: No. 38
density of states at the Fermi level: 1.6 states/eV/cell
total magnetic moment: 0.0 μB per cell
energy of formation: 5 meV per atom
relative energy among the computed polymorphs: 26 kJ/mol of formula units

a b c (Å): 2.6357 4.2225 6.8017
angles (deg): 90.00 101.17 90.00
Positions (direct):
Cu (0.2216, 0.5000, 0.4432)
Cu (0.5609, 0.5000, 0.1218)
Cu (0.6736, 0.0000, 0.3471)
Cu (0.8817, 0.5000, 0.7634)
Cu (0.3287, 0.0000, 0.6574)
Au (0.0002, 0.0000, 0.0004)


[4]
A plane-wave DFT calculation with meta-GGA SCAN was carried out for a crystal of TePb relaxed with PBEsol.

Calculated values
space group: No. 8
total magnetic moment: 0.0 μB per cell
raw formation energy: -0.303 eV/atom

a b c (Å): 4.4444 6.4607 8.1473
angles (deg): 67.94 74.17 69.88
Positions (direct):
Pb (0.6030, 0.4889, 0.3052)
Pb (0.9252, 0.1275, 0.0221)
Pb (0.7441, 0.8536, 0.6582)
Te (0.3542, 0.9815, 0.3101)
Te (0.1963, 0.6605, 0.9470)
Te (0.0106, 0.3880, 0.5908)


[5]
A plane-wave DFT calculation with meta-GGA SCAN was carried out for a crystal of GaTeF2 relaxed with PBEsol.

Calculated values
space group: No. 166
density of states at the Fermi level: 2.0 states/eV/cell
total magnetic moment: 0.0 μB per cell
raw formation energy: -1.281 eV/atom
relative energy among the computed polymorphs: 0 kJ/mol of formula units

a b c (Å): 3.2216 3.2216 9.6714
angles (deg): 80.41 80.41 60.00
Positions (direct):
Ga (0.5000, 0.5000, 0.5000)
Te (0.0000, 0.0000, 0.0000)
F (0.1307, 0.1307, 0.6078)
F (0.8693, 0.8693, 0.3922)


[6]
A plane-wave DFT calculation with meta-GGA SCAN was carried out for a crystal of YScTc2 relaxed with PBEsol.

Calculated values
space group: No. 47
density of states at the Fermi level: 3.0 states/eV/cell
total magnetic moment: 0.0 μB per cell
energy of formation: 181 meV per atom
relative energy among the computed polymorphs: 4 kJ/mol of formula units

a b c (Å): 3.2906 4.3811 4.8946
angles (deg): 90.00 90.00 90.00
Positions (direct):
Tc (0.5000, 0.0000, 0.5000)
Tc (0.0000, 0.0000, 0.0000)
Y (0.5000, 0.5000, 0.0000)
Sc (0.0000, 0.5000, 0.5000)


[7]
A plane-wave DFT calculation with meta-GGA SCAN was carried out for a crystal of BaAlAs relaxed with PBEsol.

Calculated values
space group: No. 156
density of states at the Fermi level: 0.5 states/eV/cell
total magnetic moment: 0.0 μB per cell
energy of formation: -705 meV per atom

a b c (Å): 4.2784 4.2784 5.2838
angles (deg): 90.00 90.00 120.00
Positions (direct):
Ba (0.6667, 0.3333, 0.3287)
Al (0.0000, 0.0000, 0.9111)
As (0.3333, 0.6667, 0.7602)


[8]
A plane-wave DFT calculation with meta-GGA SCAN was carried out for a crystal of KY2Cr relaxed with PBEsol.

Calculated values
space group: No. 99
density of states at the Fermi level: 2.1 states/eV/cell
total magnetic moment: 3.6 μB per cell
energy of formation: 380 meV per atom

a b c (Å): 3.8060 3.8060 9.2906
angles (deg): 90.00 90.00 90.00
Each line ends with the local moment (μB).
Positions (direct):
Y (0.0000, 0.0000, 0.0686)  -0.49
Y (0.5000, 0.5000, 0.2947)  -0.07
K (0.5000, 0.5000, 0.7118)  0.00
Cr (0.0000, 0.0000, 0.4249)  4.01


Number 1: DFT total energy -134.2 eV per cell. Number 2: DFT total energy -189.2 eV per cell. Number 3: DFT total energy -145.1 eV per cell. Number 4: DFT total energy -340.9 eV per cell. Number 5: DFT total energy -65.8 eV per cell. Number 6: DFT total energy -111.5 eV per cell. Number 7: DFT total energy -69.6 eV per cell. Number 8: DFT total energy -80.9 eV per cell.